This record from Alexandria via LeMat-Bulk describes BeReSb2Te after structural relaxation. The functional is PBE.

Summary:
Total magnetization in μB per atom: 0.060
Final energy in eV per atom: -4.37

Cell: 5.071 5.071 5.661 Å, 90.00 90.00 90.00°
Site moments in Bohr magnetons follow the coordinates.
Fractional coordinates of all 5 atoms:
Te1 0.000 0.000 0.500  0.03
Be1 0.500 0.500 0.500  0.00
Re1 0.000 0.000 0.000  0.24
Sb1 0.000 0.500 0.000  -0.01
Sb2 0.500 0.000 0.000  -0.01

***

This record from Alexandria via LeMat-Bulk describes Pm2ScCd4 after structural relaxation. The functional is PBE.

Summary:
Formation energy in eV per formula unit: 1.241
Total magnetization in μB per atom: 0.000
Final energy in eV per atom: -2.61

Cell: 5.373 5.373 8.750 Å, 107.88 107.88 90.00°
Fractional coordinates of all 7 atoms:
Cd1 0.817 0.817 0.634
Cd2 0.500 0.000 0.000
Pm1 0.387 0.387 0.774
Cd3 0.000 0.500 0.000
Pm2 0.613 0.613 0.226
Cd4 0.183 0.183 0.366
Sc1 0.000 0.000 0.000

***

This record from Alexandria via LeMat-Bulk describes CaTm2C after structural relaxation. The functional is PBE.

Summary:
Formation energy in eV per formula unit: -0.565
Total magnetization in μB per atom: 0.064
Final energy in eV per atom: -5.18

Cell: 3.551 3.551 9.788 Å, 79.55 79.55 60.00°
Site moments in Bohr magnetons follow the coordinates.
Fractional coordinates of all 4 atoms:
C1 0.500 0.500 0.500  -0.01
Ca1 0.000 0.000 0.000  0.01
Tm1 0.879 0.879 0.363  0.09
Tm2 0.121 0.121 0.637  0.09

***

This record from Alexandria via LeMat-Bulk describes Co2HgPt after structural relaxation. The functional is PBE.

Summary:
Formation energy in eV per formula unit: 0.894
Total magnetization in μB per atom: 0.942
Final energy in eV per atom: -4.92

Cell: 4.104 2.810 5.313 Å, 74.77 90.00 90.00°
Site moments in Bohr magnetons follow the coordinates.
Fractional coordinates of all 4 atoms:
Co1 0.500 0.071 0.232  1.73
Co2 0.000 0.187 0.003  1.84
Hg1 0.000 0.450 0.474  -0.02
Pt1 0.500 0.792 0.792  0.28

***

This record from Alexandria via LeMat-Bulk describes UNb2Cu after structural relaxation. The functional is PBE.

Summary:
Formation energy in eV per formula unit: 2.236
Total magnetization in μB per atom: 0.000
Final energy in eV per atom: -8.32

Cell: 2.805 2.805 11.161 Å, 82.78 82.78 60.00°
Fractional coordinates of all 4 atoms:
Nb1 0.919 0.919 0.243
U1 0.500 0.500 0.500
Cu1 0.000 0.000 0.000
Nb2 0.081 0.081 0.757

***

This record from Alexandria via LeMat-Bulk describes KCr3N after structural relaxation. The functional is PBE.

Summary:
Total magnetization in μB per atom: 0.627
Final energy in eV per atom: -3.82

Cell: 4.171 4.171 4.171 Å, 90.00 90.00 90.00°
Site moments in Bohr magnetons follow the coordinates.
Fractional coordinates of all 5 atoms:
K1 0.000 0.000 0.000  -0.02
N1 0.500 0.500 0.500  -0.22
Cr1 0.500 0.000 0.000  1.40
Cr2 0.000 0.500 0.000  0.90
Cr3 0.000 0.000 0.500  0.98